! RbHf2TiW | the Alexandria database | PBE | optimized geometry; values from VASP
&SYSTEM
  ibrav = 0, nat = 5, ntyp = 4
/
ATOMIC_SPECIES
Rb 85.47 Rb.upf
W 183.84 W.upf
Hf 178.49 Hf.upf
Ti 47.87 Ti.upf
CELL_PARAMETERS angstrom
-4.649 1.520 0.997
-1.718 -2.849 -3.666
-0.552 -3.789 3.203
ATOMIC_POSITIONS crystal
Rb 0.000 0.500 0.000
W 0.500 0.500 0.500
Hf 0.500 0.000 0.000
Hf 0.000 0.000 0.500
Ti 0.000 0.000 0.000
! Energy relative to the elements (meV/atom): 2197
! D(E_F) (states/eV per atom): 1.347